# Ac4OsI2Br

An optimized crystal structure of Ac4OsI2Br (GGA-PBE, Alexandria via LeMat-Bulk).

Total magnetization   0.000 μB per atom
Fermi-level density of states   4.242 states/eV/cell
Calculated density   7519 kg/m3
Space-group type   No. 10
Energy relative to the elements, uncorrected   -0.853 eV/atom
DFT total energy   -4.91 eV per atom

Structure (extended XYZ):
```
8
Lattice="-4.1841 -1.2427 -0.5002 1.7265 -2.6604 -7.8316 1.4311 -6.9529 5.3025" Properties=species:S:1:pos:R:3 pbc="T T T"
Ac -1.3246 -2.7571 -1.3629
Ac 0.2981 -8.0988 -1.6664
Ac 1.6982 -6.4804 1.8945
Ac 1.4594 -3.1329 -4.4236
Os -1.2288 -1.9515 -4.1659
I -1.3765 -4.0978 2.4011
I 1.5788 -4.8066 -1.2646
Br 0.0000 0.0000 0.0000
```

# HfCu2Rh

An optimized crystal structure of HfCu2Rh (GGA-PBE, Alexandria via LeMat-Bulk).

Total magnetization   0.000 μB per atom
Fermi-level density of states   2.720 states/eV/cell
Calculated density   11597 kg/m3
Space-group type   No. 69
DFT total energy   -6.85 eV per atom

Structure (extended XYZ):
```
8
Lattice="4.8686 -0.7641 0.0000 -2.1037 4.8480 0.0000 0.0000 0.0000 5.3184" Properties=species:S:1:pos:R:3 pbc="T T T"
Hf 3.2915 2.8705 1.3296
Hf -0.5265 1.2135 3.9888
Cu 0.8570 3.2542 5.3182
Cu 0.8570 3.2542 2.6595
Cu 1.9079 0.8297 0.0003
Cu 1.9079 0.8297 2.6590
Rh -0.5254 1.2109 1.3296
Rh 3.2904 2.8730 3.9888
```

# Rb2ScCdBr

An optimized crystal structure of Rb2ScCdBr (GGA-PBE, Alexandria via LeMat-Bulk).

Total magnetization   0.350 μB per atom
Fermi-level density of states   5.959 states/eV/cell
Calculated density   2304 kg/m3
Space-group type   No. 123
Energy relative to the elements, uncorrected   0.036 eV/atom
DFT total energy   -2.13 eV per atom

Structure (extended XYZ):
```
5
Lattice="7.5163 0.0000 0.0000 0.0000 5.2086 0.0000 0.0000 0.0000 7.5163" Properties=species:S:1:pos:R:3 pbc="T T T"
Sc 0.0000 0.0000 0.0000
Br 0.0000 2.6043 0.0000
Rb 0.0000 0.0000 3.7581
Rb 3.7581 0.0000 0.0000
Cd 3.7581 2.6043 3.7581
```